This record from Alexandria via LeMat-Bulk describes CsMnTl2Br6 after structural relaxation. The functional is PBE.

CIF file:
```
data_CsMnTl2Br6
_cell_length_a 7.8770
_cell_length_b 9.3709
_cell_length_c 10.4374
_cell_angle_alpha 90.00
_cell_angle_beta 88.65
_cell_angle_gamma 90.00
_space_group_name_H-M_alt 'P 1'
_space_group_IT_number 1
_space_group_name_Hall 'P 1'
loop_
_atom_site_label
_atom_site_type_symbol
_atom_site_fract_x
_atom_site_fract_y
_atom_site_fract_z
_atom_site_occupancy
Br1 Br 0.3033 0.6598 0.0054 1
Br2 Br 0.8742 0.6499 0.1739 1
Br3 Br 0.3826 0.8351 0.3383 1
Br4 Br 0.8033 0.8402 0.5054 1
Br5 Br 0.6258 0.1499 0.3261 1
Br6 Br 0.8826 0.6649 0.8383 1
Br7 Br 0.1174 0.3351 0.1617 1
Br8 Br 0.1258 0.3501 0.8261 1
Br9 Br 0.3742 0.8501 0.6739 1
Br10 Br 0.6174 0.1649 0.6617 1
Br11 Br 0.6967 0.3402 0.9946 1
Br12 Br 0.1967 0.1598 0.4946 1
Mn1 Mn 0.0000 0.5000 0.0000 1
Mn2 Mn 0.5000 0.0000 0.5000 1
Cs1 Cs 0.5000 0.0000 0.0000 1
Cs2 Cs 0.0000 0.5000 0.5000 1
Tl1 Tl 0.5046 0.5096 0.7800 1
Tl2 Tl 0.4954 0.4904 0.2200 1
Tl3 Tl 0.9954 0.0096 0.7200 1
Tl4 Tl 0.0046 0.9904 0.2800 1
```



# CsMn2TlBr6 (PBE, relaxed)
# DOS at the Fermi energy ... 0.00 states/eV per cell
data_CsMn2TlBr6
_cell_length_a 10.3186
_cell_length_b 10.3186
_cell_length_c 7.8828
_cell_angle_alpha 100.18
_cell_angle_beta 100.18
_cell_angle_gamma 86.22
_space_group_name_H-M_alt 'P 1'
_space_group_IT_number 1
_space_group_name_Hall 'P 1'
loop_
_atom_site_label
_atom_site_type_symbol
_atom_site_fract_x
_atom_site_fract_y
_atom_site_fract_z
_atom_site_occupancy
Br1 Br 0.7037 0.5297 0.6665 1
Br2 Br 0.3972 0.9078 0.6750 1
Br3 Br 0.6028 0.0922 0.3250 1
Br4 Br 0.8852 0.8294 0.4897 1
Br5 Br 0.1706 0.1148 0.0103 1
Br6 Br 0.0922 0.6028 0.8250 1
Br7 Br 0.1148 0.1706 0.5103 1
Br8 Br 0.4703 0.2963 0.8335 1
Br9 Br 0.5297 0.7037 0.1665 1
Br10 Br 0.9078 0.3972 0.1750 1
Br11 Br 0.8294 0.8852 0.9897 1
Br12 Br 0.2963 0.4703 0.3335 1
Mn1 Mn 0.6982 0.8718 0.2367 1
Mn2 Mn 0.1282 0.3018 0.2633 1
Mn3 Mn 0.3018 0.1282 0.7633 1
Mn4 Mn 0.8718 0.6982 0.7367 1
Tl1 Tl 0.3971 0.6029 0.7500 1
Tl2 Tl 0.6029 0.3971 0.2500 1
Cs1 Cs 0.1839 0.8161 0.2500 1
Cs2 Cs 0.8161 0.1839 0.7500 1



# CsTmMn2Br8 (PBE, relaxed)
# DOS at the Fermi energy ... 0.00 states/eV per cell
data_CsTmMn2Br8
_cell_length_a 6.8297
_cell_length_b 6.8297
_cell_length_c 11.9112
_cell_angle_alpha 73.34
_cell_angle_beta 73.34
_cell_angle_gamma 60.00
_space_group_name_H-M_alt 'P 1'
_space_group_IT_number 1
_space_group_name_Hall 'P 1'
loop_
_atom_site_label
_atom_site_type_symbol
_atom_site_fract_x
_atom_site_fract_y
_atom_site_fract_z
_atom_site_occupancy
Br1 Br 0.7678 0.4327 0.6605 1
Br2 Br 0.6852 0.6852 0.9444 1
Br3 Br 0.4327 0.1391 0.6605 1
Br4 Br 0.2322 0.8609 0.3395 1
Br5 Br 0.5673 0.2322 0.3395 1
Br6 Br 0.1391 0.7678 0.6605 1
Br7 Br 0.3148 0.3148 0.0556 1
Br8 Br 0.8609 0.5673 0.3395 1
Mn1 Mn 0.2429 0.2429 0.2713 1
Mn2 Mn 0.7571 0.7571 0.7287 1
Cs1 Cs 0.0000 0.0000 0.0000 1
Tm1 Tm 0.5000 0.5000 0.5000 1



# CsTmMnBr6 (PBE, relaxed)
# DOS at the Fermi energy ... 0.00 states/eV per cell
data_CsTmMnBr6
_cell_length_a 7.1460
_cell_length_b 7.1499
_cell_length_c 8.1860
_cell_angle_alpha 90.05
_cell_angle_beta 90.08
_cell_angle_gamma 60.01
_space_group_name_H-M_alt 'P 1'
_space_group_IT_number 1
_space_group_name_Hall 'P 1'
loop_
_atom_site_label
_atom_site_type_symbol
_atom_site_fract_x
_atom_site_fract_y
_atom_site_fract_z
_atom_site_occupancy
Br1 Br 0.9937 0.6263 0.6939 1
Br2 Br 0.9924 0.3805 0.3067 1
Br3 Br 0.6264 0.9929 0.3065 1
Br4 Br 0.6270 0.3806 0.6934 1
Br5 Br 0.3801 0.6262 0.3061 1
Br6 Br 0.3805 0.9930 0.6934 1
Tm1 Tm 0.3333 0.3334 0.5000 1
Cs1 Cs 0.9999 0.0001 0.0000 1
Mn1 Mn 0.6664 0.6670 0.5000 1



# CsUMn2Br8 (PBE, relaxed)
# DOS at the Fermi energy ... 2.84 states/eV per cell
data_CsUMn2Br8
_cell_length_a 7.0470
_cell_length_b 7.0470
_cell_length_c 11.3773
_cell_angle_alpha 71.96
_cell_angle_beta 71.96
_cell_angle_gamma 60.00
_space_group_name_H-M_alt 'P 1'
_space_group_IT_number 1
_space_group_name_Hall 'P 1'
loop_
_atom_site_label
_atom_site_type_symbol
_atom_site_fract_x
_atom_site_fract_y
_atom_site_fract_z
_atom_site_occupancy
Br1 Br 0.6170 0.2845 0.1619 1
Br2 Br 0.1772 0.1772 0.4683 1
Br3 Br 0.2845 0.9366 0.1619 1
Br4 Br 0.8228 0.8228 0.5317 1
Br5 Br 0.0635 0.3830 0.8381 1
Br6 Br 0.3830 0.7155 0.8381 1
Br7 Br 0.9366 0.6170 0.1619 1
Br8 Br 0.7155 0.0635 0.8381 1
Cs1 Cs 0.5000 0.5000 0.5000 1
U1 U 0.0000 0.0000 0.0000 1
Mn1 Mn 0.7470 0.7470 0.7591 1
Mn2 Mn 0.2530 0.2530 0.2409 1



# CsMn2VBr8 (PBE, relaxed)
# DOS at the Fermi energy ... 5.75 states/eV per cell
data_CsMn2VBr8
_cell_length_a 6.6317
_cell_length_b 6.6317
_cell_length_c 11.9067
_cell_angle_alpha 73.83
_cell_angle_beta 73.83
_cell_angle_gamma 60.00
_space_group_name_H-M_alt 'P 1'
_space_group_IT_number 1
_space_group_name_Hall 'P 1'
loop_
_atom_site_label
_atom_site_type_symbol
_atom_site_fract_x
_atom_site_fract_y
_atom_site_fract_z
_atom_site_occupancy
V1 V 0.5000 0.5000 0.5000 1
Br1 Br 0.6914 0.6914 0.9258 1
Br2 Br 0.3086 0.3086 0.0741 1
Br3 Br 0.1576 0.7614 0.6507 1
Br4 Br 0.8424 0.5697 0.3493 1
Br5 Br 0.4303 0.1576 0.6507 1
Br6 Br 0.5697 0.2386 0.3493 1
Br7 Br 0.2386 0.8424 0.3493 1
Br8 Br 0.7614 0.4303 0.6507 1
Cs1 Cs 0.0000 0.0000 0.0000 1
Mn1 Mn 0.2367 0.2367 0.2900 1
Mn2 Mn 0.7633 0.7633 0.7100 1



# Cs2MnWBr6 (PBE, relaxed)
# DOS at the Fermi energy ... 6.64 states/eV per cell
data_Cs2MnWBr6
_cell_length_a 7.7045
_cell_length_b 7.7045
_cell_length_c 7.7035
_cell_angle_alpha 60.00
_cell_angle_beta 60.00
_cell_angle_gamma 90.00
_space_group_name_H-M_alt 'P 1'
_space_group_IT_number 1
_space_group_name_Hall 'P 1'
loop_
_atom_site_label
_atom_site_type_symbol
_atom_site_fract_x
_atom_site_fract_y
_atom_site_fract_z
_atom_site_occupancy
Br1 Br 0.2449 0.2449 0.5102 1
Br2 Br 0.7551 0.7551 0.0000 1
Br3 Br 0.7551 0.2449 0.0000 1
Br4 Br 0.7551 0.7551 0.4898 1
Br5 Br 0.2449 0.2449 0.0000 1
Br6 Br 0.2449 0.7551 0.0000 1
Cs1 Cs 0.7500 0.2500 0.5000 1
Cs2 Cs 0.2500 0.7500 0.5000 1
Mn1 Mn 0.5000 0.5000 0.0000 1
W1 W 0.0000 0.0000 0.0000 1



# CsMnZn2Br8 (PBE, relaxed)
# DOS at the Fermi energy ... 5.73 states/eV per cell
data_CsMnZn2Br8
_cell_length_a 6.6320
_cell_length_b 6.6320
_cell_length_c 11.5595
_cell_angle_alpha 73.33
_cell_angle_beta 73.33
_cell_angle_gamma 60.00
_space_group_name_H-M_alt 'P 1'
_space_group_IT_number 1
_space_group_name_Hall 'P 1'
loop_
_atom_site_label
_atom_site_type_symbol
_atom_site_fract_x
_atom_site_fract_y
_atom_site_fract_z
_atom_site_occupancy
Br1 Br 0.2764 0.9365 0.1387 1
Br2 Br 0.1922 0.1922 0.4235 1
Br3 Br 0.3516 0.7236 0.8613 1
Br4 Br 0.8078 0.8078 0.5765 1
Br5 Br 0.0635 0.3516 0.8613 1
Br6 Br 0.9365 0.6484 0.1387 1
Br7 Br 0.6484 0.2764 0.1387 1
Br8 Br 0.7236 0.0635 0.8613 1
Zn1 Zn 0.2650 0.2650 0.2050 1
Zn2 Zn 0.7350 0.7350 0.7950 1
Cs1 Cs 0.5000 0.5000 0.5000 1
Mn1 Mn 0.0000 0.0000 0.0000 1



Going through the records in order, we get raw formation energy values of -0.96, -1.01, -1.26, -1.52, -1.10, -0.88, -0.79, -0.92 eV/atom.